# 1
The following is a DFT calculation (GGA-PBEsol) of a relaxed structure of K2TlInCl6.

Results
M_tot	0.00	μB per cell
uncorrected formation energy	-132	kJ/mol of atoms
E_tot	-3.363	eV/atom

a b c (Å): 7.684 7.684 7.684
angles (deg): 60.00 60.00 60.00
Element x y z (fractional)
K  0.250  0.250  0.250
K  0.750  0.750  0.750
Tl  0.000  0.000  0.000
In  0.500  0.500  0.500
Cl  0.269  0.269  0.731
Cl  0.269  0.731  0.269
Cl  0.269  0.731  0.731
Cl  0.731  0.269  0.269
Cl  0.731  0.269  0.731
Cl  0.731  0.731  0.269

---

# 2
The following is a DFT calculation (GGA-PBEsol) of a relaxed structure of LaInCl2.

Results
M_tot	0.00	μB per cell
uncorrected formation energy	-128	kJ/mol of atoms
E_tot	-4.410	eV/atom
energy above the most stable polymorph in this dataset	28.3	meV per atom

a b c (Å): 5.327 5.403 5.403
angles (deg): 43.45 90.00 90.00
Element x y z (fractional)
La  0.000  0.000  0.000
In  0.500  0.401  0.401
Cl  0.000  0.712  0.712
Cl  0.500  0.121  0.121

---

# 3
The following is a DFT calculation (GGA-PBEsol) of a relaxed structure of LaIn2Cl.

Results
M_tot	0.00	μB per cell
uncorrected formation energy	-38	kJ/mol of atoms
E_tot	-3.727	eV/atom
energy above the most stable polymorph in this dataset	420.1	meV per atom

a b c (Å): 9.981 9.981 9.981
angles (deg): 20.23 20.23 20.23
Element x y z (fractional)
La  0.000  0.000  0.000
In  0.242  0.242  0.242
In  0.758  0.758  0.758
Cl  0.500  0.500  0.500

---

# 4
The following is a DFT calculation (GGA-PBEsol) of a relaxed structure of LaIn2Cl.

Results
M_tot	0.00	μB per cell
uncorrected formation energy	-79	kJ/mol of atoms
E_tot	-4.147	eV/atom
energy above the most stable polymorph in this dataset	0.0	meV per atom

a b c (Å): 3.735 4.506 6.007
angles (deg): 90.00 90.00 90.00
Element x y z (fractional)
La  0.000  0.000  0.000
In  0.000  0.500  0.500
In  0.500  0.000  0.500
Cl  0.500  0.500  0.000

---

# 5
The following is a DFT calculation (GGA-PBEsol) of a relaxed structure of LaInCl2.

Results
M_tot	0.00	μB per cell
uncorrected formation energy	-130	kJ/mol of atoms
E_tot	-4.438	eV/atom
energy above the most stable polymorph in this dataset	0.0	meV per atom

a b c (Å): 9.931 9.931 9.931
angles (deg): 20.74 20.74 20.74
Element x y z (fractional)
La  0.000  0.000  0.000
In  0.500  0.500  0.500
Cl  0.264  0.264  0.264
Cl  0.736  0.736  0.736

---

# 6
The following is a DFT calculation (GGA-PBEsol) of a relaxed structure of Li2LaInCl.

Results
M_tot	0.01	μB per cell
uncorrected formation energy	-37	kJ/mol of atoms
E_tot	-3.236	eV/atom

a b c (Å): 4.688 4.688 6.208
angles (deg): 90.00 90.00 90.00
Element x y z (fractional)
Li  0.000  0.500  0.000
Li  0.500  0.000  0.000
La  0.000  0.000  0.500
In  0.500  0.500  0.500
Cl  0.500  0.500  0.000

---

# 7
The following is a DFT calculation (GGA-PBEsol) of a relaxed structure of LaInMo2Cl.

Results
M_tot	0.00	μB per cell
uncorrected formation energy	52	kJ/mol of atoms
E_tot	-6.231	eV/atom

a b c (Å): 4.516 4.516 5.174
angles (deg): 90.00 90.00 90.00
Element x y z (fractional)
La  0.000  0.000  0.000
In  0.500  0.500  0.000
Mo  0.000  0.500  0.500
Mo  0.500  0.000  0.500
Cl  0.000  0.000  0.500

---

# 8
The following is a DFT calculation (GGA-PBEsol) of a relaxed structure of LiIn2Cl.

Results
M_tot	0.00	μB per cell
uncorrected formation energy	-30	kJ/mol of atoms
E_tot	-2.795	eV/atom
energy above the most stable polymorph in this dataset	142.5	meV per atom

a b c (Å): 3.300 3.300 8.862
angles (deg): 90.00 90.00 112.08
Element x y z (fractional)
Li  0.000  0.000  0.000
In  0.500  0.500  0.246
In  0.500  0.500  0.754
Cl  0.000  0.000  0.500

---

# 9
The following is a DFT calculation (GGA-PBEsol) of a relaxed structure of LiIn2Cl.

Results
M_tot	0.00	μB per cell
uncorrected formation energy	-44	kJ/mol of atoms
E_tot	-2.938	eV/atom
energy above the most stable polymorph in this dataset	0.0	meV per atom

a b c (Å): 3.675 4.342 6.457
angles (deg): 90.00 90.00 90.00
Element x y z (fractional)
Li  0.000  0.000  0.000
In  0.000  0.500  0.500
In  0.500  0.000  0.500
Cl  0.500  0.500  0.000

---

# 10
The following is a DFT calculation (GGA-PBEsol) of a relaxed structure of LiInCl4.

Results
M_tot	2.07	μB per cell
uncorrected formation energy	-20	kJ/mol of atoms
E_tot	-2.371	eV/atom

a b c (Å): 5.971 5.971 5.971
angles (deg): 60.00 60.00 60.00
Element x y z (fractional)
Li  0.000  0.000  0.000
In  0.750  0.750  0.750
Cl  0.375  0.375  0.375
Cl  0.375  0.375  0.875
Cl  0.375  0.875  0.375
Cl  0.875  0.375  0.375

---

# 11
The following is a DFT calculation (GGA-PBEsol) of a relaxed structure of LiIn4Cl.

Results
M_tot	0.00	μB per cell
uncorrected formation energy	-10	kJ/mol of atoms
E_tot	-2.754	eV/atom

a b c (Å): 6.072 6.072 6.072
angles (deg): 60.00 60.00 60.00
Element x y z (fractional)
Li  0.000  0.000  0.000
In  0.375  0.375  0.375
In  0.375  0.375  0.875
In  0.375  0.875  0.375
In  0.875  0.375  0.375
Cl  0.750  0.750  0.750

---

# 12
The following is a DFT calculation (GGA-PBEsol) of a relaxed structure of Li3InCl.

Results
M_tot	0.00	μB per cell
uncorrected formation energy	-63	kJ/mol of atoms
E_tot	-2.832	eV/atom

a b c (Å): 4.625 4.625 4.625
angles (deg): 90.00 90.00 90.00
Element x y z (fractional)
Li  0.000  0.000  0.500
Li  0.000  0.500  0.000
Li  0.500  0.000  0.000
In  0.500  0.500  0.500
Cl  0.000  0.000  0.000